Compound: HfB2Ru
Source: Alexandria
Functional: GGA-PBE
Structure: optimized geometry

Cell: 3.8436 3.8436 7.7825 Å, 75.70 75.70 90.00°
With the nearest neighbours (Å) after each atom.
Element x y z (fractional)
Hf: 0.0000 0.0000 0.0000  4 Ru 2.72, 8 B 2.82
Hf: 0.7500 0.2500 0.5000  4 Ru 2.72, 8 B 2.82
B: 0.3751 0.1250 0.2500  2 B 1.92, 2 Ru 2.06
B: 0.3749 0.6250 0.2500  2 B 1.92, 2 Ru 2.06
B: 0.8750 0.6251 0.7500  2 B 1.92, 2 Ru 2.06
B: 0.3750 0.6249 0.7500  2 B 1.92, 2 Ru 2.06
Ru: 0.5000 0.5000 0.0000  4 B 2.06
Ru: 0.2500 0.7500 0.5000  4 B 2.06

## Properties
Formation energy from the elements (eV per atom): -0.057
Crystal system: tetragonal